Here is crystalline KSnH at its relaxed geometry from Alexandria via LeMat-Bulk. Energies are from PBE-GGA.

Output
Its total moment is 0.0 μB/cell. The calculation puts the energy above the most stable polymorph in this dataset at 0.0 kJ/mol of atoms. Its space-group type is Ama2 (40).

a = 4.7002 Å, b = 7.0592 Å, c = 7.0592 Å
α = 134.65°, β = 90.00°, γ = 90.00°
Positions (direct):
K (0.2500, 0.1417, 0.8583)
K (0.7500, 0.8583, 0.1417)
Sn (0.2500, 0.4120, 0.5580)
Sn (0.7500, 0.5580, 0.4120)
H (0.2500, 0.7337, 0.9035)
H (0.7500, 0.9035, 0.7337)